Below is Ba2PmS3 after structural relaxation, with properties calculated at the PBE level.

a = 4.259 Å, b = 5.348 Å, c = 9.092 Å
α = 107.10°, β = 103.54°, γ = 90.00°
Fractional positions:
Ba 0.650 0.650 0.301
Ba 0.350 0.350 0.699
Pm 0.000 0.000 0.000
S 0.000 0.500 0.000
S 0.836 0.836 0.671
S 0.164 0.164 0.329

Total DFT energy (no corrections), eV per atom: -5.37
Crystal system: orthorhombic
ΔE to the lowest computed polymorph, meV per atom: 123.6
Energy relative to the elements, uncorrected, meV/atom: -1874
Fermi-level density of states, states/eV per cell: 1.047

Below is BaPm6S8 after structural relaxation, with properties calculated at the PBE level.

a = 7.952 Å, b = 7.952 Å, c = 7.952 Å
α = 94.56°, β = 94.56°, γ = 94.56°
Last column: magnetic moment on the atom in μB.
Fractional positions:
Ba 0.000 0.000 0.000  0.03
Pm 0.618 0.436 0.811  0.11
Pm 0.436 0.811 0.618  0.11
Pm 0.811 0.618 0.436  0.11
Pm 0.382 0.564 0.189  0.11
Pm 0.564 0.189 0.382  0.11
Pm 0.189 0.382 0.564  0.11
S 0.758 0.758 0.758  0.00
S 0.242 0.242 0.242  0.00
S 0.604 0.852 0.309  -0.01
S 0.852 0.309 0.604  -0.01
S 0.309 0.604 0.852  -0.01
S 0.396 0.148 0.691  -0.01
S 0.148 0.691 0.396  -0.01
S 0.691 0.396 0.148  -0.01

Total DFT energy (no corrections), eV per atom: -6.00
Crystal system: trigonal
Energy relative to the elements, uncorrected, meV/atom: -1769
Fermi-level density of states, states/eV per cell: 9.750

Below is BaPmS2 after structural relaxation, with properties calculated at the PBE level.

a = 4.139 Å, b = 4.139 Å, c = 7.839 Å
α = 74.69°, β = 74.69°, γ = 60.00°
Fractional positions:
Ba 0.496 0.496 0.512
Pm 0.669 0.669 0.992
S 0.073 0.073 0.782
S 0.262 0.262 0.215

Total DFT energy (no corrections), eV per atom: -5.68
Crystal system: trigonal
ΔE to the lowest computed polymorph, meV per atom: 74.2
Energy relative to the elements, uncorrected, meV/atom: -1951
Fermi-level density of states, states/eV per cell: 2.066

Below is BaPmS2 after structural relaxation, with properties calculated at the PBE level.

a = 4.204 Å, b = 4.204 Å, c = 7.576 Å
α = 73.97°, β = 73.97°, γ = 59.97°
Fractional positions:
Ba 0.500 0.500 0.500
Pm 0.000 0.000 0.000
S 0.739 0.739 0.782
S 0.261 0.261 0.218

Total DFT energy (no corrections), eV per atom: -5.76
Crystal system: monoclinic
ΔE to the lowest computed polymorph, meV per atom: 0.0
Energy relative to the elements, uncorrected, meV/atom: -2025
Fermi-level density of states, states/eV per cell: 1.671

Below is Ba3Pm3SmS8 after structural relaxation, with properties calculated at the PBE level.

a = 8.305 Å, b = 8.299 Å, c = 8.718 Å
α = 118.41°, β = 90.01°, γ = 119.99°
Fractional positions:
Ba 0.000 0.000 0.000
Ba 0.000 0.500 0.000
Ba 0.500 0.500 0.000
Pm 0.500 0.000 0.500
Pm 0.500 0.500 0.500
Pm 0.000 0.500 0.500
Sm 0.000 0.000 0.500
S 0.260 0.521 0.282
S 0.740 0.479 0.718
S 0.764 0.528 0.288
S 0.236 0.472 0.712
S 0.764 0.024 0.287
S 0.236 0.976 0.713
S 0.260 0.024 0.287
S 0.740 0.976 0.713

Total DFT energy (no corrections), eV per atom: -5.91
Crystal system: monoclinic
Energy relative to the elements, uncorrected, meV/atom: -2057
Fermi-level density of states, states/eV per cell: 3.564

Below is BaPmSm4S8 after structural relaxation, with properties calculated at the PBE level.

a = 8.402 Å, b = 8.402 Å, c = 8.416 Å
α = 60.06°, β = 60.06°, γ = 60.00°
Fractional positions:
Ba 0.375 0.375 0.876
Pm 0.002 0.002 0.995
Sm 0.625 0.625 0.125
Sm 0.002 0.495 0.502
Sm 0.495 0.002 0.502
Sm 0.002 0.002 0.502
S 0.234 0.800 0.732
S 0.800 0.234 0.732
S 0.234 0.234 0.732
S 0.233 0.233 0.301
S 0.757 0.229 0.258
S 0.229 0.757 0.258
S 0.757 0.757 0.258
S 0.757 0.757 0.728

Total DFT energy (no corrections), eV per atom: -6.15
Crystal system: trigonal
Energy relative to the elements, uncorrected, meV/atom: -1962
Fermi-level density of states, states/eV per cell: 3.519

Going through the records in order, we get magnetization values of 0.0000 0.0905 0.0000 0.0000 0.0000 0.0000 μB/atom.